(1)
{
  "formula": "HoAg2Sb",
  "functional": "PBE",
  "state": "optimized geometry",
  "lattice_angstrom": [[3.219, 0.000, 0.000], [1.610, 2.788, 0.000], [1.610, 0.929, 10.821]],
  "species": ["Sb", "Ho", "Ag", "Ag"],
  "fractional_positions": [[0.500, 0.500, 0.500], [0.000, 0.000, 0.000], [0.090, 0.090, 0.730], [0.910, 0.910, 0.270]],
  "sg": "R-3m, No. 166"
}

(2)
{
  "formula": "HoAgSb",
  "functional": "PBE",
  "state": "optimized geometry",
  "lattice_angstrom": [[-4.081, 0.080, -0.385], [0.393, -1.127, -4.401], [-0.363, -3.262, 3.165]],
  "species": ["Sb", "Ho", "Ag"],
  "fractional_positions": [[0.237, 0.333, 0.667], [0.684, 0.667, 0.333], [0.079, 0.000, 0.000]],
  "sg": "P3m1, No. 156"
}

(3)
{
  "formula": "Ho2AgSb",
  "functional": "PBE",
  "state": "optimized geometry",
  "lattice_angstrom": [[3.956, 0.000, 0.000], [0.000, 5.031, 0.000], [0.000, 0.000, 5.031]],
  "species": ["Sb", "Ho", "Ho", "Ag"],
  "fractional_positions": [[0.500, 0.500, 0.500], [0.000, 0.000, 0.500], [0.000, 0.500, 0.000], [0.500, 0.000, 0.000]],
  "sg": "P4/mmm, No. 123"
}

In the order shown, the computed formation energy (no corrections) values come out to 0.2632, -0.5328, -0.5841 eV per atom.